[1]
{
  "formula": "TaAs2Br",
  "functional": "PBE",
  "state": "optimized geometry",
  "formation_energy_uncorrected_ev_per_fu": -0.02,
  "energy_ev_per_atom": -5.711,
  "sg": "No. 160",
  "e_above_lowest_polymorph_mev_per_atom": 252,
  "dos_at_fermi_per_ev_atom": 0.31,
  "magmom_total_mub_per_cell": 0.00,
  "lattice_angstrom": [[1.641, 0.948, 9.231], [-1.641, 0.948, 9.231], [0.000, -1.895, 9.231]],
  "species": ["Ta", "As", "As", "Br"],
  "fractional_positions": [[0.000, 0.000, 0.000], [0.263, 0.263, 0.263], [0.529, 0.529, 0.529], [0.734, 0.734, 0.734]]
}


[2]
{
  "formula": "TaAsBr2",
  "functional": "PBE",
  "state": "optimized geometry",
  "formation_energy_uncorrected_ev_per_fu": -1.39,
  "energy_ev_per_atom": -5.310,
  "sg": "No. 6",
  "e_above_lowest_polymorph_mev_per_atom": 22,
  "dos_at_fermi_per_ev_atom": 0.48,
  "magmom_total_mub_per_cell": 0.00,
  "lattice_angstrom": [[3.738, 0.000, 0.000], [0.000, 3.440, 0.000], [-1.803, 0.000, 8.102]],
  "species": ["Ta", "As", "Br", "Br"],
  "fractional_positions": [[0.000, 0.000, 0.000], [0.457, 0.500, 0.910], [0.124, 0.500, 0.257], [0.840, 0.000, 0.670]]
}


[3]
{
  "formula": "TaAsBr2",
  "functional": "PBE",
  "state": "optimized geometry",
  "formation_energy_uncorrected_ev_per_fu": 2.48,
  "energy_ev_per_atom": -4.341,
  "sg": "No. 47",
  "e_above_lowest_polymorph_mev_per_atom": 991,
  "dos_at_fermi_per_ev_atom": 0.85,
  "magmom_total_mub_per_cell": 0.67,
  "lattice_angstrom": [[3.143, 0.000, 0.000], [0.000, 4.742, 0.000], [0.000, 0.000, 5.584]],
  "species": ["Ta", "As", "Br", "Br"],
  "fractional_positions": [[0.000, 0.000, 0.000], [0.500, 0.000, 0.500], [0.000, 0.500, 0.500], [0.500, 0.500, 0.000]]
}


[4]
{
  "formula": "TaAs2Br",
  "functional": "PBE",
  "state": "optimized geometry",
  "formation_energy_uncorrected_ev_per_fu": -0.18,
  "energy_ev_per_atom": -5.752,
  "sg": "No. 99",
  "e_above_lowest_polymorph_mev_per_atom": 210,
  "dos_at_fermi_per_ev_atom": 0.38,
  "magmom_total_mub_per_cell": 0.00,
  "lattice_angstrom": [[3.350, 0.000, 0.000], [0.000, 3.350, 0.000], [0.000, 0.000, 7.873]],
  "species": ["Ta", "As", "As", "Br"],
  "fractional_positions": [[0.000, 0.000, 0.000], [0.000, 0.000, 0.339], [0.500, 0.500, 0.165], [0.500, 0.500, 0.768]]
}


[5]
{
  "formula": "TaAsBr",
  "functional": "PBE",
  "state": "optimized geometry",
  "formation_energy_uncorrected_ev_per_fu": 2.62,
  "energy_ev_per_atom": -5.185,
  "sg": "No. 216",
  "e_above_lowest_polymorph_mev_per_atom": 1121,
  "dos_at_fermi_per_ev_atom": 0.75,
  "magmom_total_mub_per_cell": 0.93,
  "lattice_angstrom": [[0.000, 3.244, 3.244], [3.244, 0.000, 3.244], [3.244, 3.244, 0.000]],
  "species": ["Ta", "As", "Br"],
  "fractional_positions": [[0.000, 0.000, 0.000], [0.750, 0.750, 0.750], [0.500, 0.500, 0.500]]
}


[6]
{
  "formula": "TaAs2Br",
  "functional": "PBE",
  "state": "optimized geometry",
  "formation_energy_uncorrected_ev_per_fu": 0.49,
  "energy_ev_per_atom": -5.584,
  "sg": "No. 12",
  "e_above_lowest_polymorph_mev_per_atom": 379,
  "dos_at_fermi_per_ev_atom": 0.72,
  "magmom_total_mub_per_cell": 0.00,
  "lattice_angstrom": [[4.447, -1.692, 0.000], [4.447, 1.692, 0.000], [-0.941, 0.000, 5.905]],
  "species": ["Ta", "As", "As", "Br"],
  "fractional_positions": [[0.000, 0.000, 0.000], [0.276, 0.276, 0.840], [0.724, 0.724, 0.160], [0.500, 0.500, 0.500]]
}


Repeat the sixth record exactly.
{
  "formula": "TaAs2Br",
  "functional": "PBE",
  "state": "optimized geometry",
  "formation_energy_uncorrected_ev_per_fu": 0.49,
  "energy_ev_per_atom": -5.584,
  "sg": "No. 12",
  "e_above_lowest_polymorph_mev_per_atom": 379,
  "dos_at_fermi_per_ev_atom": 0.72,
  "magmom_total_mub_per_cell": 0.00,
  "lattice_angstrom": [[4.447, -1.692, 0.000], [4.447, 1.692, 0.000], [-0.941, 0.000, 5.905]],
  "species": ["Ta", "As", "As", "Br"],
  "fractional_positions": [[0.000, 0.000, 0.000], [0.276, 0.276, 0.840], [0.724, 0.724, 0.160], [0.500, 0.500, 0.500]]
}


Copy entry 5 word for word.
{
  "formula": "TaAsBr",
  "functional": "PBE",
  "state": "optimized geometry",
  "formation_energy_uncorrected_ev_per_fu": 2.62,
  "energy_ev_per_atom": -5.185,
  "sg": "No. 216",
  "e_above_lowest_polymorph_mev_per_atom": 1121,
  "dos_at_fermi_per_ev_atom": 0.75,
  "magmom_total_mub_per_cell": 0.93,
  "lattice_angstrom": [[0.000, 3.244, 3.244], [3.244, 0.000, 3.244], [3.244, 3.244, 0.000]],
  "species": ["Ta", "As", "Br"],
  "fractional_positions": [[0.000, 0.000, 0.000], [0.750, 0.750, 0.750], [0.500, 0.500, 0.500]]
}